First-principles (PBE-GGA) data for a geometry-optimized CeH structure, as listed in Alexandria.

```
data_CeH
_chemical_formula_sum 'Ce4 H4'
_symmetry_space_group_name_H-M 'F m -3 m'
_symmetry_Int_Tables_number 225
_symmetry_space_group_name_Hall '-F 4 2 3'
_cell_length_a 4.996
_cell_length_b 4.996
_cell_length_c 4.996
_cell_angle_alpha 90.00
_cell_angle_beta 90.00
_cell_angle_gamma 90.00
loop_
_atom_site_label
_atom_site_fract_x
_atom_site_fract_y
_atom_site_fract_z
_atom_site_occupancy
Ce1 0.000 0.000 0.000 1
H1 0.000 0.000 0.500 1
```

Summary:
Mass density (kg/m3): 7516
Energy (eV per atom): -5.00
DOS at the Fermi energy (states/eV/atom): 1.697